1.
Density functional theory data (PBE) for an optimized crystal structure of Tb2TlF.

Computed properties:
* energy relative to the elements, uncorrected: -0.9673 eV per atom
* energy above the lowest structure with this stoichiometry: 315 meV/atom
* VASP energy: -4.342 eV per atom
* space-group type: P4/mmm (123)

a b c (Å): 3.367 3.367 7.992
angles (deg): 90.00 90.00 90.00
Fractional coordinates of all 4 atoms:
Tb (0.000, 0.000, 0.228)
Tb (0.000, 0.000, 0.772)
Tl (0.500, 0.500, 0.500)
F (0.500, 0.500, 0.000)

2.
Density functional theory data (PBE) for an optimized crystal structure of Tb2TlF7.

Computed properties:
* energy relative to the elements, uncorrected: -3.6928 eV per atom
* VASP energy: -6.165 eV per atom
* space-group type: Cmmm (65)

a b c (Å): 6.765 6.765 4.414
angles (deg): 90.00 90.00 116.43
Fractional coordinates of all 10 atoms:
Tb (0.193, 0.807, 0.000)
Tb (0.807, 0.193, 0.000)
Tl (0.500, 0.500, 0.500)
F (0.000, 0.000, 0.000)
F (0.165, 0.457, 0.000)
F (0.205, 0.795, 0.500)
F (0.457, 0.165, 0.000)
F (0.543, 0.835, 0.000)
F (0.795, 0.205, 0.500)
F (0.835, 0.543, 0.000)

3.
Density functional theory data (PBE) for an optimized crystal structure of TbTl3F6.

Computed properties:
* energy relative to the elements, uncorrected: -2.7177 eV per atom
* VASP energy: -5.013 eV per atom
* space-group type: P2_1/c (14)

a b c (Å): 6.579 6.916 11.473
angles (deg): 90.00 124.10 90.00
Fractional coordinates of all 20 atoms:
Tb (0.000, 0.000, 0.000)
Tb (0.000, 0.500, 0.500)
Tl (0.267, 0.041, 0.754)
Tl (0.267, 0.459, 0.254)
Tl (0.500, 0.000, 0.500)
Tl (0.500, 0.500, 0.000)
Tl (0.733, 0.541, 0.746)
Tl (0.733, 0.959, 0.246)
F (0.103, 0.053, 0.217)
F (0.103, 0.447, 0.717)
F (0.223, 0.733, 0.069)
F (0.223, 0.767, 0.569)
F (0.327, 0.163, 0.047)
F (0.327, 0.337, 0.547)
F (0.673, 0.663, 0.453)
F (0.673, 0.837, 0.953)
F (0.777, 0.233, 0.431)
F (0.777, 0.267, 0.931)
F (0.897, 0.553, 0.283)
F (0.897, 0.947, 0.783)

no.,total moment (Bohr magnetons per cell)
1,0.3
2,0.0
3,0.0